Entry 1:
First-principles (GGA-PBE) data for an optimized crystal structure of K4Rb5Na, as listed in the Alexandria database.

Geometry as CIF:
```
data_K4Rb5Na
_cell_length_a 4.926
_cell_length_b 4.926
_cell_length_c 31.772
_cell_angle_alpha 90.00
_cell_angle_beta 90.00
_cell_angle_gamma 90.00
_space_group_name_H-M_alt 'P 4/m m m'
_space_group_IT_number 123
_space_group_name_Hall '-P 4 2'
loop_
_atom_site_label
_atom_site_fract_x
_atom_site_fract_y
_atom_site_fract_z
K1 0.000 0.000 0.104
K2 0.000 0.000 0.315
Rb1 0.500 0.500 0.000
Rb2 0.500 0.500 0.209
Rb3 0.500 0.500 0.420
Na1 0.000 0.000 0.500
```


Entry 2:
First-principles (GGA-PBE) data for an optimized crystal structure of LaBi3Pt8, as listed in the Alexandria database.

Geometry as CIF:
```
data_LaBi3Pt8
_cell_length_a 5.5362
_cell_length_b 5.5362
_cell_length_c 9.3491
_cell_angle_alpha 90.00
_cell_angle_beta 90.00
_cell_angle_gamma 120.00
_space_group_name_H-M_alt 'P 3 m 1'
_space_group_IT_number 156
_space_group_name_Hall 'P 3 -2"'
loop_
_atom_site_label
_atom_site_fract_x
_atom_site_fract_y
_atom_site_fract_z
La1 0.0000 0.0000 0.0000
Bi1 0.0000 0.0000 0.4349
Bi2 0.6667 0.3333 0.4162
Bi3 0.6667 0.3333 0.8079
Pt1 0.9999 0.4999 0.1604
Pt2 0.1687 0.3374 0.6883
Pt3 0.3333 0.6667 0.4137
Pt4 0.3333 0.6667 0.9283
```


Entry 3:
First-principles (GGA-PBE) data for an optimized crystal structure of BaAlRh, as listed in the Alexandria database.

Geometry as CIF:
```
data_BaAlRh
_cell_length_a 7.192
_cell_length_b 7.192
_cell_length_c 7.192
_cell_angle_alpha 90.00
_cell_angle_beta 90.00
_cell_angle_gamma 90.00
_space_group_name_H-M_alt 'F -4 3 m'
_space_group_IT_number 216
_space_group_name_Hall 'F -4 2 3'
loop_
_atom_site_label
_atom_site_fract_x
_atom_site_fract_y
_atom_site_fract_z
Ba1 0.000 0.000 0.000
Al1 0.250 0.250 0.750
Rh1 0.250 0.250 0.250
```


| no. | E_form (eV/atom) | V (Å³/atom) |
| --- | --- | --- |
| 1 | 0.014 | 77.1 |
| 2 | -0.358 | 20.7 |
| 3 | 0.843 | 31.0 |